# PrNdBi4Ir2 | OQMD via LeMat-Bulk | PBE-GGA | relaxed
data_PrNdBi4Ir2
_cell_length_a 4.601
_cell_length_b 4.601
_cell_length_c 9.914
_cell_angle_alpha 90.00
_cell_angle_beta 90.00
_cell_angle_gamma 90.00
_space_group_name_H-M_alt 'P 4 m m'
_space_group_IT_number 99
loop_
_space_group_symop_operation_xyz
'x,y,z'
'-y,x,z'
'-x,-y,z'
'y,-x,z'
'-x,y,z'
'y,x,z'
'x,-y,z'
'-y,-x,z'
loop_
_atom_site_label
_atom_site_type_symbol
_atom_site_fract_x
_atom_site_fract_y
_atom_site_fract_z
Pr1 Pr 0.000 0.000 0.000
Nd1 Nd 0.500 0.500 0.457
Bi1 Bi 0.000 0.000 0.396
Bi2 Bi 0.000 0.500 0.728
Bi3 Bi 0.500 0.500 0.065
Ir1 Ir 0.000 0.500 0.231
# **Crystal system**: tetragonal
# **VASP energy**: -5.87 eV per atom
# **Magnetic moment**: 0.10 μB/f.u.
# **Calculated density**: 11.9 g/cm3


# Li4As2PdPt | OQMD via LeMat-Bulk | PBE-GGA | relaxed
data_Li4As2PdPt
_cell_length_a 4.280
_cell_length_b 4.280
_cell_length_c 6.050
_cell_angle_alpha 90.00
_cell_angle_beta 90.00
_cell_angle_gamma 90.00
_space_group_name_H-M_alt 'P -4 m 2'
_space_group_IT_number 115
loop_
_space_group_symop_operation_xyz
'x,y,z'
'y,-x,-z'
'-x,-y,z'
'-y,x,-z'
'-x,y,z'
'-y,-x,-z'
'x,-y,z'
'y,x,-z'
loop_
_atom_site_label
_atom_site_type_symbol
_atom_site_fract_x
_atom_site_fract_y
_atom_site_fract_z
Li1 Li 0.000 0.000 0.000
Li2 Li 0.000 0.500 0.250
Li3 Li 0.500 0.500 0.500
As1 As 0.000 0.500 0.748
Pd1 Pd 0.500 0.500 0.000
Pt1 Pt 0.000 0.000 0.500
# **Crystal system**: tetragonal
# **VASP energy**: -4.17 eV per atom
# **Magnetic moment**: 0.00 μB/f.u.
# **Calculated density**: 7.2 g/cm3


# Tl2Hg2Pb3 | OQMD via LeMat-Bulk | PBE-GGA | relaxed
data_Tl2Hg2Pb3
_cell_length_a 5.4688
_cell_length_b 5.4688
_cell_length_c 24.1163
_cell_angle_alpha 90.00
_cell_angle_beta 90.00
_cell_angle_gamma 120.00
_space_group_name_H-M_alt 'R 3 m'
_space_group_IT_number 160
_space_group_name_Hall 'R 3 -2"'
loop_
_atom_site_label
_atom_site_type_symbol
_atom_site_fract_x
_atom_site_fract_y
_atom_site_fract_z
Tl1 Tl 0.0000 0.0000 0.0000
Tl2 Tl 0.0000 0.0000 0.4246
Hg1 Hg 0.0000 0.0000 0.1405
Hg2 Hg 0.0000 0.0000 0.7082
Pb1 Pb 0.0000 0.0000 0.2800
Pb2 Pb 0.0000 0.0000 0.5687
Pb3 Pb 0.0000 0.0000 0.8460
# **Crystal system**: trigonal
# **VASP energy**: -2.34 eV per atom
# **Calculated density**: 11.4 g/cm3